This record from Alexandria describes an optimized crystal structure of Cs3VPb2F9. The functional is PBE+U.

The structure in extended XYZ format:
```
15
Lattice="6.641 0.000 0.000 -3.320 5.751 0.000 0.000 0.000 8.153" Properties=species:S:1:pos:R:3 pbc="T T T"
F 1.520 0.877 5.313
F 1.801 4.874 2.840
F 3.320 0.000 0.000
F 5.121 0.877 5.313
F -1.801 4.874 2.840
F -1.660 2.876 0.000
F 3.320 3.996 5.313
F 1.660 2.876 0.000
F 0.000 1.755 2.840
Cs 0.000 0.000 0.000
Cs 3.320 1.917 2.759
Cs 0.000 3.834 5.395
Pb 3.320 1.917 6.662
Pb 0.000 3.834 1.491
V 0.000 0.000 4.077
```

Calculated values
- Raw total energy: -73.36 eV/f.u.
- Magnetization: 3.00 μB/f.u.